1.
First-principles (PBE) data for LaBe2As after structural relaxation, as listed in Alexandria via LeMat-Bulk.

## Properties
**Calculated total energy**: -18.1 eV/f.u.
**Formation energy from the elements**: -0.257 eV/atom
**SG**: I4_1/amd

Cell: 4.3986 4.3986 8.6061 Å, 75.19 75.19 90.00°
Closest atoms and distances in Å follow each position.
Fractional coordinates of all 8 atoms:
As1 0.2500 0.7500 0.5000  4 Be 2.29
As2 0.5000 0.5000 0.0000  4 Be 2.29
Be1 0.3748 0.1250 0.2500  2 Be 2.20, 2 As 2.29
Be2 0.3750 0.6252 0.7500  2 Be 2.20, 2 As 2.29
Be3 0.8750 0.6248 0.7500  2 Be 2.20, 2 As 2.29
Be4 0.3752 0.6250 0.2500  2 Be 2.20, 2 As 2.29
La1 0.0000 0.0000 0.0000  4 As 3.11, 8 Be 3.17
La2 0.7500 0.2500 0.5000  4 As 3.11, 8 Be 3.17

2.
First-principles (PBE) data for V12Ga3Pt after structural relaxation, as listed in Alexandria via LeMat-Bulk.

## Properties
**Calculated total energy**: -128.7 eV/f.u.
**Formation energy from the elements**: -0.260 eV/atom
**SG**: Pmmm

Cell: 4.7730 4.7838 9.6147 Å, 90.00 90.00 90.00°
Closest atoms and distances in Å follow each position.
Fractional coordinates of all 16 atoms:
V1 0.5000 0.0000 0.6207  2 V 2.32-2.39
V2 0.5000 0.0000 0.1305  2 V 2.39-2.51, 2 Ga 2.65
V3 0.2512 0.5000 0.0000  2 V 2.38-2.40
V4 0.0000 0.2469 0.2493  2 V 2.36-2.42
V5 0.0000 0.7531 0.2493  2 V 2.36-2.42
V6 0.7488 0.5000 0.0000  2 V 2.38-2.40
V7 0.5000 0.0000 0.3793  2 V 2.32-2.39
V8 0.5000 0.0000 0.8695  2 V 2.39-2.51, 2 Ga 2.65
V9 0.7505 0.5000 0.5000  2 V 2.38-2.39
V10 0.0000 0.7531 0.7507  2 V 2.36-2.42
V11 0.0000 0.2469 0.7507  2 V 2.36-2.42
V12 0.2495 0.5000 0.5000  2 V 2.38-2.39
Ga1 0.5000 0.5000 0.7512  12 V 2.65-2.70
Ga2 0.5000 0.5000 0.2488  12 V 2.65-2.70
Ga3 0.0000 0.0000 0.0000  12 V 2.67-2.70
Pt1 0.0000 0.0000 0.5000  12 V 2.65-2.68

3.
First-principles (PBE) data for AcLa after structural relaxation, as listed in Alexandria via LeMat-Bulk.

## Properties
**Energy above the most stable polymorph in this dataset**: 0.576 eV/atom
**Calculated total energy**: -7.8 eV/f.u.
**Formation energy from the elements**: 0.600 eV/atom
**SG**: Fm-3m

Cell: 4.9198 4.9198 4.9198 Å, 60.00 60.00 60.00°
Closest atoms and distances in Å follow each position.
Fractional coordinates of all 2 atoms:
Ac1 0.0000 0.0000 0.0000  6 La 3.48
La1 0.5000 0.5000 0.5000  6 Ac 3.48

4.
First-principles (PBE) data for MnSbSCl2 after structural relaxation, as listed in Alexandria via LeMat-Bulk.

## Properties
**Energy above the most stable polymorph in this dataset**: 0.031 eV/atom
**Calculated total energy**: -20.5 eV/f.u.
**SG**: P4/mmm
**Formation energy (no corrections)**: 122.7 meV/atom

Cell: 5.3419 5.3419 5.1703 Å, 90.00 90.00 90.00°
Closest atoms and distances in Å follow each position.
Fractional coordinates of all 5 atoms:
Mn1 0.5000 0.5000 0.5000  8 Cl 3.72, 4 S 3.78
S1 0.0000 0.0000 0.5000  2 Sb 2.59
Cl1 0.5000 0.0000 0.0000  2 Sb 2.67
Cl2 0.0000 0.5000 0.0000  2 Sb 2.67
Sb1 0.0000 0.0000 0.0000  2 S 2.59, 4 Cl 2.67

5.
First-principles (PBE) data for Rb2UPb2O6 after structural relaxation, as listed in Alexandria via LeMat-Bulk.

## Properties
**Calculated total energy**: -72.5 eV/f.u.
**SG**: C2/m
**Formation energy (no corrections)**: -2013.4 meV/atom

Cell: 6.2565 6.2565 6.9773 Å, 99.36 99.36 115.43°
Closest atoms and distances in Å follow each position.
Fractional coordinates of all 11 atoms:
O1 0.1683 0.1683 0.3089  1 U 1.99
O2 0.0413 0.3494 0.6692  1 U 2.19, 1 Pb 2.37
O3 0.9587 0.6506 0.3308  1 U 2.19, 1 Pb 2.37
O4 0.3494 0.0413 0.6692  1 U 2.19, 1 Pb 2.37
O5 0.8317 0.8317 0.6911  1 U 1.99
O6 0.6506 0.9587 0.3308  1 U 2.19, 1 Pb 2.37
U1 0.0000 0.0000 0.5000  6 O 1.99-2.19
Rb1 0.8166 0.1834 0.0000  6 O 2.86-3.09
Rb2 0.1834 0.8166 0.0000  6 O 2.86-3.09
Pb1 0.3301 0.6699 0.5000  4 O 2.37-2.65
Pb2 0.6699 0.3301 0.5000  4 O 2.37-2.65

6.
First-principles (PBE) data for TeAu3O after structural relaxation, as listed in Alexandria via LeMat-Bulk.

## Properties
**Energy above the most stable polymorph in this dataset**: 0.504 eV/atom
**Calculated total energy**: -13.4 eV/f.u.
**SG**: Pm-3m
**Formation energy (no corrections)**: 898.8 meV/atom

Cell: 5.2598 5.2598 5.2598 Å, 90.00 90.00 90.00°
Closest atoms and distances in Å follow each position.
Fractional coordinates of all 5 atoms:
Au1 0.0000 0.0000 0.5000  2 Te 2.63
Au2 0.5000 0.0000 0.0000  2 Te 2.63
Au3 0.0000 0.5000 0.0000  2 Te 2.63
Te1 0.0000 0.0000 0.0000  6 Au 2.63
O1 0.5000 0.5000 0.5000  12 Au 3.72

7.
First-principles (PBE) data for Na2YHg4 after structural relaxation, as listed in Alexandria via LeMat-Bulk.

## Properties
**Calculated total energy**: -11.4 eV/f.u.
**Formation energy from the elements**: -0.156 eV/atom
**SG**: C2/m

Cell: 5.2559 5.0474 9.4225 Å, 97.62 90.00 121.38°
Closest atoms and distances in Å follow each position.
Fractional coordinates of all 7 atoms:
Na1 0.3424 0.6848 0.1005  5 Hg 3.01-3.25
Na2 0.6576 0.3152 0.8995  5 Hg 3.01-3.25
Hg1 0.6709 0.3419 0.5819  1 Na 3.01, 3 Y 3.05, 4 Hg 3.11-3.28
Hg2 0.2967 0.5934 0.7608  4 Na 3.16-3.25, 3 Hg 3.22-3.28, 1 Y 3.26
Hg3 0.3291 0.6581 0.4181  1 Na 3.01, 3 Y 3.05, 4 Hg 3.11-3.28
Hg4 0.7033 0.4066 0.2392  4 Na 3.16-3.25, 3 Hg 3.22-3.28, 1 Y 3.26
Y1 0.0000 0.0000 0.5000  8 Hg 3.05-3.26

8.
First-principles (PBE) data for Sm2Tm8Tl after structural relaxation, as listed in Alexandria via LeMat-Bulk.

## Properties
**Calculated total energy**: -47.8 eV/f.u.
**Formation energy from the elements**: -0.023 eV/atom
**SG**: C2/m

Cell: 5.4906 6.3767 10.0042 Å, 84.94 105.93 90.00°
Closest atoms and distances in Å follow each position.
Fractional coordinates of all 11 atoms:
Tm1 0.8477 0.8078 0.6954  5 Tm 3.32-3.59, 4 Sm 3.55-3.65
Tm2 0.9552 0.2719 0.9105  2 Tl 3.32, 5 Tm 3.47-3.71
Tm3 0.6607 0.8761 0.3213  1 Tl 3.12, 2 Sm 3.39, 2 Tm 3.40
Tm4 0.1523 0.1922 0.3046  5 Tm 3.32-3.59, 4 Sm 3.55-3.65
Tm5 0.5782 0.4017 0.1563  1 Tl 3.09, 3 Tm 3.15-3.32, 1 Sm 3.41
Tm6 0.0448 0.7281 0.0895  2 Tl 3.32, 5 Tm 3.47-3.71
Tm7 0.3393 0.1239 0.6787  1 Tl 3.12, 2 Sm 3.39, 2 Tm 3.40
Tm8 0.4218 0.5983 0.8437  1 Tl 3.09, 3 Tm 3.15-3.32, 1 Sm 3.41
Tl1 0.5000 0.0000 0.0000  8 Tm 3.09-3.32
Sm1 0.7559 0.3323 0.5118  9 Tm 3.39-3.77, 2 Sm 3.47
Sm2 0.2441 0.6677 0.4882  9 Tm 3.39-3.77, 2 Sm 3.47

9.
First-principles (PBE) data for ZrB3N3 after structural relaxation, as listed in Alexandria via LeMat-Bulk.

## Properties
**Calculated total energy**: -50.9 eV/f.u.
**SG**: Pm-3n
**Formation energy (no corrections)**: 382.0 meV/atom

Cell: 4.7522 4.7522 4.7522 Å, 90.00 90.00 90.00°
Closest atoms and distances in Å follow each position.
Fractional coordinates of all 14 atoms:
Zr1 0.0000 0.0000 0.0000  12 B 2.66, 12 N 2.66
Zr2 0.5000 0.5000 0.5000  12 N 2.66, 12 B 2.66
N1 0.7500 0.5000 0.0000  4 B 1.68
N2 0.0000 0.7500 0.5000  4 B 1.68
N3 0.5000 0.0000 0.7500  4 B 1.68
N4 0.0000 0.2500 0.5000  4 B 1.68
N5 0.2500 0.5000 0.0000  4 B 1.68
N6 0.5000 0.0000 0.2500  4 B 1.68
B1 0.7500 0.0000 0.5000  4 N 1.68
B2 0.0000 0.5000 0.2500  4 N 1.68
B3 0.5000 0.2500 0.0000  4 N 1.68
B4 0.0000 0.5000 0.7500  4 N 1.68
B5 0.5000 0.7500 0.0000  4 N 1.68
B6 0.2500 0.0000 0.5000  4 N 1.68

10.
First-principles (PBE) data for MgNbRh2 after structural relaxation, as listed in Alexandria via LeMat-Bulk.

## Properties
**Calculated total energy**: -28.4 eV/f.u.
**Formation energy from the elements**: -0.507 eV/atom
**SG**: Fm-3m

Cell: 4.4605 4.4605 4.4605 Å, 60.00 60.00 60.00°
Closest atoms and distances in Å follow each position.
Fractional coordinates of all 4 atoms:
Rh1 0.2500 0.2500 0.2500  4 Nb 2.73, 4 Mg 2.73
Rh2 0.7500 0.7500 0.7500  4 Nb 2.73, 4 Mg 2.73
Mg1 0.0000 0.0000 0.0000  8 Rh 2.73
Nb1 0.5000 0.5000 0.5000  8 Rh 2.73

11.
First-principles (PBE) data for CuAsP after structural relaxation, as listed in Alexandria via LeMat-Bulk.

## Properties
**Energy above the most stable polymorph in this dataset**: 0.000 eV/atom
**Calculated total energy**: -14.0 eV/f.u.
**Formation energy from the elements**: 0.037 eV/atom
**SG**: Pnma

Cell: 3.8257 5.3564 11.5058 Å, 90.00 90.00 90.00°
Closest atoms and distances in Å follow each position.
Fractional coordinates of all 12 atoms:
As1 0.2500 0.1586 0.4952  1 P 2.30, 1 Cu 2.43, 2 As 2.56
As2 0.7500 0.6586 0.0048  1 P 2.30, 1 Cu 2.43, 2 As 2.56
As3 0.2500 0.3414 0.9952  1 P 2.30, 1 Cu 2.43, 2 As 2.56
As4 0.7500 0.8414 0.5048  1 P 2.30, 1 Cu 2.43, 2 As 2.56
P1 0.7500 0.6563 0.3247  3 Cu 2.26-2.27, 1 As 2.30
P2 0.2500 0.3437 0.6753  3 Cu 2.26-2.27, 1 As 2.30
P3 0.2500 0.1563 0.1753  3 Cu 2.26-2.27, 1 As 2.30
P4 0.7500 0.8437 0.8247  3 Cu 2.26-2.27, 1 As 2.30
Cu1 0.7500 0.5695 0.6739  3 P 2.26-2.27, 1 As 2.43
Cu2 0.7500 0.9305 0.1739  3 P 2.26-2.27, 1 As 2.43
Cu3 0.2500 0.0695 0.8261  3 P 2.26-2.27, 1 As 2.43
Cu4 0.2500 0.4305 0.3261  3 P 2.26-2.27, 1 As 2.43

12.
First-principles (PBE) data for CdAg2Br after structural relaxation, as listed in Alexandria via LeMat-Bulk.

## Properties
**Energy above the most stable polymorph in this dataset**: 0.054 eV/atom
**Calculated total energy**: -8.3 eV/f.u.
**SG**: Pmmm
**Formation energy (no corrections)**: -13.3 meV/atom

Cell: 3.6605 3.6486 6.6590 Å, 90.00 90.00 90.00°
Closest atoms and distances in Å follow each position.
Fractional coordinates of all 4 atoms:
Br1 0.5000 0.5000 0.2500  8 Ag 3.22, 2 Cd 3.33
Cd1 0.5000 0.5000 0.7500  8 Ag 2.95
Ag1 0.0000 0.0000 0.5379  1 Ag 2.83, 4 Cd 2.95
Ag2 0.0000 0.0000 0.9621  1 Ag 2.83, 4 Cd 2.95